# CsHfSc

Crystalline CsHfSc at its relaxed geometry (PBE, Alexandria via LeMat-Bulk).

Cell lengths 5.9168, 5.3360, 14.8016 Å; angles 90.00, 90.00, 90.00 degrees
Last column: nearest neighbours and their distance in Å.
Sites, in units of the cell vectors:
Sc1 0.3750 0.2500 0.7326  2 Sc 3.00, 4 Hf 3.05-3.08
Sc2 0.6250 0.7500 0.2674  2 Sc 3.00, 4 Hf 3.05-3.08
Sc3 0.1250 0.7500 0.2326  2 Sc 3.00, 4 Hf 3.05-3.08
Sc4 0.8750 0.2500 0.7674  2 Sc 3.00, 4 Hf 3.05-3.08
Hf1 0.8830 0.2500 0.2595  2 Hf 2.97, 4 Sc 3.05-3.08
Hf2 0.3830 0.2500 0.2405  2 Hf 2.97, 4 Sc 3.05-3.08
Hf3 0.1170 0.7500 0.7405  2 Hf 2.97, 4 Sc 3.05-3.08
Hf4 0.6170 0.7500 0.7595  2 Hf 2.97, 4 Sc 3.05-3.08
Cs1 0.2436 0.7500 0.4841  2 Sc 3.79-3.92, 1 Hf 3.87, 4 Cs 3.96-4.07
Cs2 0.7436 0.7500 0.0159  2 Sc 3.79-3.92, 1 Hf 3.87, 4 Cs 3.96-4.07
Cs3 0.2564 0.2500 0.9841  2 Sc 3.79-3.92, 1 Hf 3.87, 4 Cs 3.96-4.07
Cs4 0.7564 0.2500 0.5159  2 Sc 3.79-3.92, 1 Hf 3.87, 4 Cs 3.96-4.07

SG: Pnma (62)
relative energy among the computed polymorphs: 0.0 meV per atom
total energy: -4.890 eV/atom
total magnetic moment: 0.000 μB per cell